First-principles (GGA-PBE) data for a geometry-optimized Nd7AgBr12 structure, as listed in the Alexandria database.

Cell lengths 11.021, 11.021, 11.021 Å; angles 116.35, 116.35, 116.35 degrees
Fractional coordinates of all 20 atoms:
Br (0.705, 0.226, 0.081)
Br (0.774, 0.919, 0.295)
Br (0.170, 0.391, 0.470)
Br (0.226, 0.081, 0.705)
Br (0.470, 0.170, 0.391)
Br (0.609, 0.530, 0.830)
Br (0.081, 0.705, 0.226)
Br (0.530, 0.830, 0.609)
Br (0.830, 0.609, 0.530)
Br (0.391, 0.470, 0.170)
Br (0.919, 0.295, 0.774)
Br (0.295, 0.774, 0.919)
Nd (0.643, 0.883, 0.963)
Nd (0.883, 0.963, 0.643)
Nd (0.357, 0.117, 0.037)
Nd (0.500, 0.500, 0.500)
Nd (0.963, 0.643, 0.883)
Nd (0.037, 0.357, 0.117)
Nd (0.117, 0.037, 0.357)
Ag (0.000, 0.000, 0.000)

Output
Total energy = -4.20 eV per atom
Formation energy from raw total energies = -1.384 eV per atom
Calculated volume = 32.40 Å³ per atom
D(E_F) = 11.480 states/eV per cell
Space-group type = No. 148

***

First-principles (GGA-PBE) data for a geometry-optimized KRbHg structure, as listed in the Alexandria database.

Cell lengths 5.143, 6.995, 9.441 Å; angles 79.01, 86.34, 89.85 degrees
Fractional coordinates of all 6 atoms:
K (0.228, 0.838, 0.160)
K (0.772, 0.162, 0.840)
Rb (0.284, 0.709, 0.663)
Rb (0.716, 0.291, 0.337)
Hg (0.247, 0.375, 0.035)
Hg (0.753, 0.625, 0.965)

Output
Total energy = -0.96 eV per atom
Calculated volume = 55.45 Å³ per atom
D(E_F) = 3.739 states/eV per cell
Space-group type = No. 2
Polymorph energy (0 for the lowest one) = 0.000 eV per atom

***

Among the records above, which one has the highest total energy? KRbHg

***

Among the records above, which one has the highest total energy? KRbHg

***

What did the first record say?
First-principles (GGA-PBE) data for a geometry-optimized Nd7AgBr12 structure, as listed in the Alexandria database.

Cell lengths 11.021, 11.021, 11.021 Å; angles 116.35, 116.35, 116.35 degrees
Fractional coordinates of all 20 atoms:
Br (0.705, 0.226, 0.081)
Br (0.774, 0.919, 0.295)
Br (0.170, 0.391, 0.470)
Br (0.226, 0.081, 0.705)
Br (0.470, 0.170, 0.391)
Br (0.609, 0.530, 0.830)
Br (0.081, 0.705, 0.226)
Br (0.530, 0.830, 0.609)
Br (0.830, 0.609, 0.530)
Br (0.391, 0.470, 0.170)
Br (0.919, 0.295, 0.774)
Br (0.295, 0.774, 0.919)
Nd (0.643, 0.883, 0.963)
Nd (0.883, 0.963, 0.643)
Nd (0.357, 0.117, 0.037)
Nd (0.500, 0.500, 0.500)
Nd (0.963, 0.643, 0.883)
Nd (0.037, 0.357, 0.117)
Nd (0.117, 0.037, 0.357)
Ag (0.000, 0.000, 0.000)

Output
Total energy = -4.20 eV per atom
Formation energy from raw total energies = -1.384 eV per atom
Calculated volume = 32.40 Å³ per atom
D(E_F) = 11.480 states/eV per cell
Space-group type = No. 148

***

Which of these has the highest total energy? KRbHg